DFT (PBE-GGA) results for an optimized crystal structure of Pu2ThPa3P6.

a b c (Å): 6.9404 12.0233 6.9537
angles (deg): 90.00 109.46 90.00
With the nearest neighbours (Å) after each atom.
Space group C2/m (No. 12)
Unique sites:
Pu  0.0000  0.1670  0.0000 [4 per cell]  6 P 2.84-2.85
Th  0.0000  0.5000  0.0000 [2 per cell]  6 P 2.89-2.90
Pa  0.0000  0.0000  0.5000 [2 per cell]  6 P 2.78-2.82
Pa  0.0000  0.3348  0.5000 [4 per cell]  6 P 2.79-2.83
P  0.2444  0.1696  0.7425 [8 per cell]  3 Pa 2.79-2.83, 2 Pu 2.85, 1 Th 2.90
P  0.2457  0.0000  0.2557 [4 per cell]  3 Pa 2.78-2.82, 2 Pu 2.84, 1 Th 2.89

Output
For the formation energy, the calculation gives -1.319 eV/atom. The density of states at the Fermi level is 1.588 states/eV per atom.